# 1
Here is a relaxed structure of MnHRuPt2 from Alexandria via LeMat-Bulk. Energies are from PBE-GGA.

The structure belongs to space group P4/mmm (No. 123); the cell edges are 3.945, 3.945 and 3.972 Å and the angles 90.00°, 90.00° and 90.00°. The distinct sites, in fractional coordinates, are Mn at (0.000, 0.000, 0.000), H at (0.500, 0.500, 0.500), Ru at (0.500, 0.500, 0.000) and Pt at (0.000, 0.500, 0.500).

As for the relative energy among the computed polymorphs: 0.0000 eV per atom.


# 2
Here is a relaxed structure of Mn2SbHPt from Alexandria via LeMat-Bulk. Energies are from PBE-GGA.

The structure belongs to space group P4/mmm (No. 123); the cell edges are 4.042, 4.042 and 4.052 Å and the angles 90.00°, 90.00° and 90.00°. The distinct sites, in fractional coordinates, are Mn at (0.000, 0.500, 0.000), Sb at (0.000, 0.000, 0.500), H at (0.500, 0.500, 0.000) and Pt at (0.500, 0.500, 0.500).

As for the total energy: -6.391 eV per atom.


# 3
Here is a relaxed structure of Mn2HPtSe from Alexandria via LeMat-Bulk. Energies are from PBE-GGA.

The structure belongs to space group P4/mmm (No. 123); the cell edges are 4.780, 4.780 and 4.688 Å and the angles 90.00°, 90.00° and 90.00°. The distinct sites, in fractional coordinates, are Mn at (0.000, 0.500, 0.000), H at (0.000, 0.000, 0.500), Pt at (0.500, 0.500, 0.500) and Se at (0.500, 0.500, 0.000).

As for the total energy: -5.258 eV per atom.


# 4
Here is a relaxed structure of Mn2SiHPt from Alexandria via LeMat-Bulk. Energies are from PBE-GGA.

The structure belongs to space group P4/mmm (No. 123); the cell edges are 4.943, 4.943 and 3.241 Å and the angles 90.00°, 90.00° and 90.00°. The distinct sites, in fractional coordinates, are Mn at (0.000, 0.500, 0.000), Si at (0.000, 0.000, 0.500), H at (0.500, 0.500, 0.500) and Pt at (0.500, 0.500, 0.000).

As for the total energy: -6.136 eV per atom.


# 5
Here is a relaxed structure of MnSnHPt2 from Alexandria via LeMat-Bulk. Energies are from PBE-GGA.

The structure belongs to space group P4/mmm (No. 123); the cell edges are 4.024, 4.024 and 4.239 Å and the angles 90.00°, 90.00° and 90.00°. The distinct sites, in fractional coordinates, are Mn at (0.000, 0.000, 0.000), Sn at (0.500, 0.500, 0.000), H at (0.000, 0.000, 0.500) and Pt at (0.000, 0.500, 0.500).

As for the total energy: -5.859 eV per atom.


# 6
Here is a relaxed structure of TaMn2HPt from Alexandria via LeMat-Bulk. Energies are from PBE-GGA.

The structure belongs to space group P4/mmm (No. 123); the cell edges are 3.987, 3.987 and 3.751 Å and the angles 90.00°, 90.00° and 90.00°. The distinct sites, in fractional coordinates, are Ta at (0.000, 0.000, 0.000), Mn at (0.000, 0.500, 0.500), H at (0.500, 0.500, 0.500) and Pt at (0.500, 0.500, 0.000).

As for the relative energy among the computed polymorphs: 0.0547 eV per atom.


# 7
Here is a relaxed structure of TaMn2HPt from Alexandria via LeMat-Bulk. Energies are from PBE-GGA.

The structure belongs to space group P4/mmm (No. 123); the cell edges are 3.837, 3.837 and 3.934 Å and the angles 90.00°, 90.00° and 90.00°. The distinct sites, in fractional coordinates, are Ta at (0.000, 0.000, 0.000), Mn at (0.000, 0.500, 0.500), H at (0.000, 0.000, 0.500) and Pt at (0.500, 0.500, 0.000).

As for the relative energy among the computed polymorphs: 0.0000 eV per atom.


# 8
Here is a relaxed structure of MnTc2HPt from Alexandria via LeMat-Bulk. Energies are from PBE-GGA.

The structure belongs to space group P4/mmm (No. 123); the cell edges are 3.865, 3.865 and 3.842 Å and the angles 90.00°, 90.00° and 90.00°. The distinct sites, in fractional coordinates, are Mn at (0.000, 0.000, 0.000), Tc at (0.000, 0.500, 0.500), H at (0.000, 0.000, 0.500) and Pt at (0.500, 0.500, 0.000).

As for the total energy: -7.889 eV per atom.